one) VASP calculation (PBE) on a relaxed POs2Pb crystal.

Summary:
DOS(E_F) = 3.18 states/eV/cell

Cell and atoms, written as CIF:
```
data_POs2Pb
_cell_length_a 2.9386
_cell_length_b 2.9386
_cell_length_c 8.3960
_cell_angle_alpha 90.00
_cell_angle_beta 90.00
_cell_angle_gamma 90.00
_symmetry_space_group_name_H-M 'P 4 m m'
_symmetry_Int_Tables_number 99
loop_
_symmetry_equiv_pos_as_xyz
'x,y,z'
'-y,x,z'
'-x,-y,z'
'y,-x,z'
'-x,y,z'
'y,x,z'
'x,-y,z'
'-y,-x,z'
loop_
_atom_site_label
_atom_site_type_symbol
_atom_site_fract_x
_atom_site_fract_y
_atom_site_fract_z
_atom_site_occupancy
P1 P 0.0000 0.0000 0.0000 1
Os1 Os 0.0000 0.0000 0.6232 1
Os2 Os 0.5000 0.5000 0.8366 1
Pb1 Pb 0.5000 0.5000 0.3613 1
```

two) VASP calculation (PBE) on a relaxed POs2Pb crystal.

Summary:
DOS(E_F) = 7.91 states/eV/cell

Cell and atoms, written as CIF:
```
data_POs2Pb
_cell_length_a 5.9730
_cell_length_b 8.6748
_cell_length_c 3.0793
_cell_angle_alpha 90.00
_cell_angle_beta 120.68
_cell_angle_gamma 90.00
_symmetry_space_group_name_H-M 'C 1 2/m 1'
_symmetry_Int_Tables_number 12
loop_
_symmetry_equiv_pos_as_xyz
'x,y,z'
'-x,-y,-z'
'-x,y,-z'
'x,-y,z'
'x+1/2,y+1/2,z'
'-x+1/2,-y+1/2,-z'
'-x+1/2,y+1/2,-z'
'x+1/2,-y+1/2,z'
loop_
_atom_site_label
_atom_site_type_symbol
_atom_site_fract_x
_atom_site_fract_y
_atom_site_fract_z
_atom_site_occupancy
P1 P 0.0000 0.0000 0.0000 1
Os1 Os 0.2500 0.2500 0.0000 1
Pb1 Pb 0.0000 0.5000 0.0000 1
```

three) VASP calculation (PBE) on a relaxed POs2Pb crystal.

Summary:
DOS(E_F) = 2.78 states/eV/cell

Cell and atoms, written as CIF:
```
data_POs2Pb
_cell_length_a 2.9049
_cell_length_b 3.8515
_cell_length_c 6.1980
_cell_angle_alpha 90.00
_cell_angle_beta 90.00
_cell_angle_gamma 90.00
_symmetry_space_group_name_H-M 'P m m 2'
_symmetry_Int_Tables_number 25
loop_
_symmetry_equiv_pos_as_xyz
'x,y,z'
'-x,-y,z'
'-x,y,z'
'x,-y,z'
loop_
_atom_site_label
_atom_site_type_symbol
_atom_site_fract_x
_atom_site_fract_y
_atom_site_fract_z
_atom_site_occupancy
P1 P 0.0000 0.0000 0.0000 1
Os1 Os 0.0000 0.0000 0.6364 1
Os2 Os 0.5000 0.5000 0.8877 1
Pb1 Pb 0.5000 0.5000 0.3684 1
```

four) VASP calculation (PBE) on a relaxed POs2Pb crystal.

Summary:
DOS(E_F) = 9.96 states/eV/cell

Cell and atoms, written as CIF:
```
data_POs2Pb
_cell_length_a 2.9416
_cell_length_b 2.9416
_cell_length_c 30.1207
_cell_angle_alpha 90.00
_cell_angle_beta 90.00
_cell_angle_gamma 120.00
_symmetry_space_group_name_H-M 'R 3 m'
_symmetry_Int_Tables_number 160
_symmetry_space_group_name_Hall 'R 3 -2"'
loop_
_atom_site_label
_atom_site_type_symbol
_atom_site_fract_x
_atom_site_fract_y
_atom_site_fract_z
_atom_site_occupancy
P1 P 0.0000 0.0000 0.0000 1
Os1 Os 0.0000 0.0000 0.2767 1
Os2 Os 0.0000 0.0000 0.5388 1
Pb1 Pb 0.0000 0.0000 0.7861 1
```

Which of them is most stable, and which least? Most stable: one); least stable: two).

one) VASP calculation (PBE) on a relaxed POs2Pb crystal.

Summary:
DOS(E_F) = 6.06 states/eV/cell

Cell and atoms, written as CIF:
```
data_POs2Pb
_cell_length_a 2.9746
_cell_length_b 5.2427
_cell_length_c 8.9969
_cell_angle_alpha 90.00
_cell_angle_beta 90.00
_cell_angle_gamma 90.00
_symmetry_space_group_name_H-M 'C m m m'
_symmetry_Int_Tables_number 65
_symmetry_space_group_name_Hall '-C 2 2'
loop_
_atom_site_label
_atom_site_type_symbol
_atom_site_fract_x
_atom_site_fract_y
_atom_site_fract_z
_atom_site_occupancy
P1 P 0.0000 0.0000 0.0000 1
Os1 Os 0.0000 0.5000 0.1933 1
Pb1 Pb 0.0000 0.0000 0.5000 1
```

two) VASP calculation (PBE) on a relaxed POs2Pb crystal.

Summary:
DOS(E_F) = 1.78 states/eV/cell

Cell and atoms, written as CIF:
```
data_POs2Pb
_cell_length_a 4.4921
_cell_length_b 4.4921
_cell_length_c 3.2039
_cell_angle_alpha 90.00
_cell_angle_beta 90.00
_cell_angle_gamma 90.00
_symmetry_space_group_name_H-M 'P 4/m m m'
_symmetry_Int_Tables_number 123
_symmetry_space_group_name_Hall '-P 4 2'
loop_
_atom_site_label
_atom_site_type_symbol
_atom_site_fract_x
_atom_site_fract_y
_atom_site_fract_z
_atom_site_occupancy
P1 P 0.0000 0.0000 0.0000 1
Os1 Os 0.0000 0.5000 0.5000 1
Pb1 Pb 0.5000 0.5000 0.0000 1
```

three) VASP calculation (PBE) on a relaxed POs2Pb crystal.

Summary:
DOS(E_F) = 2.95 states/eV/cell

Cell and atoms, written as CIF:
```
data_POs2Pb
_cell_length_a 2.9731
_cell_length_b 4.3098
_cell_length_c 6.3291
_cell_angle_alpha 90.00
_cell_angle_beta 90.17
_cell_angle_gamma 90.00
_symmetry_space_group_name_H-M 'P 1 m 1'
_symmetry_Int_Tables_number 6
loop_
_symmetry_equiv_pos_as_xyz
'x,y,z'
'x,-y,z'
loop_
_atom_site_label
_atom_site_type_symbol
_atom_site_fract_x
_atom_site_fract_y
_atom_site_fract_z
_atom_site_occupancy
P1 P 0.0000 0.0000 0.0000 1
Os1 Os 0.0010 0.5000 0.1739 1
Os2 Os 0.5018 0.0000 0.2888 1
Pb1 Pb 0.5035 0.5000 0.5871 1
```

Which of them is most stable, and which least? Most stable: three); least stable: two).